InSb2Pt after structural relaxation, computed with PBE.

Computed properties:
As for the mass density: 9.317 Mg/m³. The energy relative to the elements, uncorrected is -0.151 eV/atom.

Cell: 3.5301 4.5591 12.2577 Å, 90.00 90.00 90.00°
With the nearest neighbours (Å) after each atom.
Space group Immm (No. 71)
Inequivalent atoms, fractional coordinates:
In: 0.0000 0.0000 0.0000 (multiplicity 2)  4 Pt 2.88, 4 Sb 3.15
Sb: 0.0000 0.5000 0.1777 (multiplicity 4)  2 Pt 2.80
Pt: 0.0000 0.0000 0.5000 (multiplicity 2)  4 Sb 2.80, 4 In 2.88

Y2Mn after structural relaxation, computed with PBE.

Computed properties:
As for the mass density: 4.850 Mg/m³. The formation enthalpy at 0 K comes out at 1.0 eV per formula unit.

Cell: 3.4630 3.4630 7.6733 Å, 90.00 90.00 120.00°
With the nearest neighbours (Å) after each atom.
Space group P-3m1 (No. 164)
Inequivalent atoms, fractional coordinates:
Y: 0.3333 0.6667 0.2979 (multiplicity 2)  3 Mn 3.04
Mn: 0.0000 0.0000 0.0000 (multiplicity 1)  6 Y 3.04

BaLi2AlGa after structural relaxation, computed with PBE.

Computed properties:
As for the mass density: 3.058 Mg/m³. The formation enthalpy at 0 K comes out at -0.3 eV per formula unit. The polymorph energy (0 for the lowest one) comes out at 0.117 eV per formula unit.

Cell: 5.1838 5.1838 5.0103 Å, 90.00 90.00 90.00°
With the nearest neighbours (Å) after each atom.
Space group P4/mmm (No. 123)
Inequivalent atoms, fractional coordinates:
Ba: 0.0000 0.0000 0.0000 (multiplicity 1)  8 Li 3.60, 4 Ga 3.67
Li: 0.0000 0.5000 0.5000 (multiplicity 2)  2 Al 2.59
Al: 0.5000 0.5000 0.5000 (multiplicity 1)  2 Ga 2.51, 4 Li 2.59
Ga: 0.5000 0.5000 0.0000 (multiplicity 1)  2 Al 2.51

SiPtSe2Br after structural relaxation, computed with PBE.

Computed properties:
As for the mass density: 6.102 Mg/m³. The polymorph energy (0 for the lowest one) comes out at 0.000 eV per formula unit. The energy relative to the elements, uncorrected is 0.560 eV/atom.

Cell: 4.9715 4.9715 5.0755 Å, 90.00 90.00 90.00°
With the nearest neighbours (Å) after each atom.
Space group P4/mmm (No. 123)
Inequivalent atoms, fractional coordinates:
Si: 0.0000 0.0000 0.0000 (multiplicity 1)  4 Br 3.52, 8 Se 3.55
Pt: 0.5000 0.5000 0.5000 (multiplicity 1)  4 Se 2.49, 2 Br 2.54
Se: 0.0000 0.5000 0.5000 (multiplicity 2)  2 Pt 2.49
Br: 0.5000 0.5000 0.0000 (multiplicity 1)  2 Pt 2.54

BaDyIn after structural relaxation, computed with PBE.

Computed properties:
As for the mass density: 6.251 Mg/m³. The formation enthalpy at 0 K comes out at -0.3 eV per formula unit. The polymorph energy (0 for the lowest one) comes out at 0.633 eV per formula unit.

Cell: 5.5469 5.5469 4.1340 Å, 90.00 90.00 120.00°
With the nearest neighbours (Å) after each atom.
Space group P-6m2 (No. 187)
Inequivalent atoms, fractional coordinates:
Ba: 0.0000 0.0000 0.0000 (multiplicity 1)  6 In 3.81, 6 Dy 3.81, 2 Ba 4.13
Dy: 0.3333 0.6667 0.5000 (multiplicity 1)  3 In 3.20
In: 0.6667 0.3333 0.5000 (multiplicity 1)  3 Dy 3.20

HgPPd3 after structural relaxation, computed with PBE.

Computed properties:
As for the mass density: 10.181 Mg/m³. The formation enthalpy at 0 K comes out at -1.2 eV per formula unit. The polymorph energy (0 for the lowest one) comes out at 0.000 eV per formula unit.

Cell: 3.5944 8.2693 12.0904 Å, 90.00 90.00 90.00°
With the nearest neighbours (Å) after each atom.
Space group Amm2 (No. 38)
Inequivalent atoms, fractional coordinates:
Hg: 0.0000 0.0000 0.0000 (multiplicity 2)  8 Pd 2.78-3.03
Hg: 0.5000 0.0000 0.4993 (multiplicity 2)  8 Pd 2.87
P: 0.5000 0.2504 0.2494 (multiplicity 4)  6 Pd 2.25-2.35
Pd: 0.0000 0.1893 0.3671 (multiplicity 4)  2 P 2.35
Pd: 0.0000 0.1889 0.6317 (multiplicity 4)  2 P 2.35
Pd: 0.5000 0.0000 0.1760 (multiplicity 2)  2 P 2.25
Pd: 0.5000 0.0000 0.8242 (multiplicity 2)  2 P 2.25

CaGaH after structural relaxation, computed with PBE.

Computed properties:
As for the mass density: 3.559 Mg/m³. The polymorph energy (0 for the lowest one) comes out at 0.000 eV per formula unit.

Cell: 7.3386 4.2358 7.0882 Å, 90.00 110.19 90.00°
With the nearest neighbours (Å) after each atom.
Space group Cm (No. 8)
Inequivalent atoms, fractional coordinates:
Ca: 0.0000 0.0000 0.0000 (multiplicity 2)  4 H 2.52-2.79
Ca: 0.2049 0.0000 0.6147 (multiplicity 2)  5 H 2.44-2.73
Ga: 0.2773 0.5000 0.3316 (multiplicity 2)  1 H 1.93
Ga: 0.4193 0.0000 0.2574 (multiplicity 2)  3 Ga 2.50
H: 0.1020 0.5000 0.8003 (multiplicity 2)  3 H 2.71-2.72, 6 Ca 2.73-2.79
H: 0.3744 0.5000 0.6217 (multiplicity 2)  1 Ga 1.93

Li2YCdO after structural relaxation, computed with PBE.

Computed properties:
As for the mass density: 4.207 Mg/m³. The energy relative to the elements, uncorrected is -1.123 eV/atom.

Cell: 4.5298 4.5298 4.4472 Å, 90.00 90.00 90.00°
With the nearest neighbours (Å) after each atom.
Space group P4/mmm (No. 123)
Inequivalent atoms, fractional coordinates:
Li: 0.0000 0.5000 0.0000 (multiplicity 2)  2 O 2.26
Y: 0.0000 0.0000 0.5000 (multiplicity 1)  2 O 2.22
Cd: 0.5000 0.5000 0.5000 (multiplicity 1)  8 Li 3.17, 4 Y 3.20
O: 0.0000 0.0000 0.0000 (multiplicity 1)  2 Y 2.22, 4 Li 2.26

BaCa2Bi4 after structural relaxation, computed with PBE.

Computed properties:
As for the mass density: 6.882 Mg/m³. The formation enthalpy at 0 K comes out at -4.3 eV per formula unit.

Cell: 4.5069 4.9507 22.7833 Å, 90.00 90.00 90.00°
With the nearest neighbours (Å) after each atom.
Space group Immm (No. 71)
Inequivalent atoms, fractional coordinates:
Ba: 0.0000 0.0000 0.0000 (multiplicity 2)  8 Bi 3.72
Ca: 0.0000 0.5000 0.3228 (multiplicity 4)  7 Bi 3.33-3.45
Bi: 0.0000 0.0000 0.4285 (multiplicity 4)  3 Bi 3.26-3.28, 2 Ca 3.45
Bi: 0.0000 0.5000 0.1764 (multiplicity 4)  2 Bi 3.28, 5 Ca 3.33-3.35

NpScZnOs after structural relaxation, computed with PBE.

Computed properties:
As for the mass density: 11.725 Mg/m³. The formation enthalpy at 0 K comes out at -0.1 eV per formula unit.

Cell: 6.7279 6.7279 6.7279 Å, 90.00 90.00 90.00°
With the nearest neighbours (Å) after each atom.
Space group F-43m (No. 216)
Inequivalent atoms, fractional coordinates:
Np: 0.0000 0.0000 0.0000 (multiplicity 4)  4 Os 2.91, 4 Zn 2.91
Sc: 0.0000 0.0000 0.5000 (multiplicity 4)  4 Zn 2.91, 4 Os 2.91
Zn: 0.2500 0.2500 0.2500 (multiplicity 4)  4 Np 2.91, 4 Sc 2.91
Os: 0.2500 0.2500 0.7500 (multiplicity 4)  4 Np 2.91, 4 Sc 2.91

Fe2GeAs2 after structural relaxation, computed with PBE.

Computed properties:
As for the mass density: 6.939 Mg/m³. The formation enthalpy at 0 K comes out at 1.5 eV per formula unit. The polymorph energy (0 for the lowest one) comes out at 0.705 eV per formula unit.

Cell: 3.7285 3.7285 11.5052 Å, 90.00 90.00 90.00°
With the nearest neighbours (Å) after each atom.
Space group I4/mmm (No. 139)
Inequivalent atoms, fractional coordinates:
Fe: 0.0000 0.0000 0.1074 (multiplicity 4)  1 Fe 2.47, 4 As 2.48
Ge: 0.0000 0.0000 0.5000 (multiplicity 2)  8 Fe 2.91
As: 0.0000 0.5000 0.2500 (multiplicity 4)  4 Fe 2.48, 4 As 2.64

La2MnAuC after structural relaxation, computed with PBE.

Computed properties:
As for the mass density: 8.160 Mg/m³. The formation enthalpy at 0 K comes out at -1.7 eV per formula unit.

Cell: 5.3773 5.3773 3.8124 Å, 90.00 90.00 90.00°
With the nearest neighbours (Å) after each atom.
Space group P4/mmm (No. 123)
Inequivalent atoms, fractional coordinates:
La: 0.0000 0.5000 0.0000 (multiplicity 2)  2 C 2.69
Mn: 0.0000 0.0000 0.5000 (multiplicity 1)  2 C 1.91
Au: 0.5000 0.5000 0.5000 (multiplicity 1)  8 La 3.30
C: 0.0000 0.0000 0.0000 (multiplicity 1)  2 Mn 1.91

Repeat the eighth record exactly.
Li2YCdO after structural relaxation, computed with PBE.

Computed properties:
As for the mass density: 4.207 Mg/m³. The energy relative to the elements, uncorrected is -1.123 eV/atom.

Cell: 4.5298 4.5298 4.4472 Å, 90.00 90.00 90.00°
With the nearest neighbours (Å) after each atom.
Space group P4/mmm (No. 123)
Inequivalent atoms, fractional coordinates:
Li: 0.0000 0.5000 0.0000 (multiplicity 2)  2 O 2.26
Y: 0.0000 0.0000 0.5000 (multiplicity 1)  2 O 2.22
Cd: 0.5000 0.5000 0.5000 (multiplicity 1)  8 Li 3.17, 4 Y 3.20
O: 0.0000 0.0000 0.0000 (multiplicity 1)  2 Y 2.22, 4 Li 2.26